[1]
A plane-wave DFT calculation with SCAN was carried out for a PBEsol-optimized structure of ZrNi3O.

Results
ΔE_f (raw): 1.903 eV/atom
D(E_F): 0.59 states/eV per atom

Cell and atoms, written as POSCAR:
```
ZrNi3O
1.0
-3.750 -1.060 -2.197
2.433 -1.326 -3.512
0.181 -4.139 1.688
Ni O Zr
3 1 1
Direct
0.500 0.000 0.000
0.000 0.000 0.500
0.000 0.500 0.000
0.500 0.500 0.500
0.000 0.000 0.000
```

[2]
A plane-wave DFT calculation with SCAN was carried out for a PBEsol-optimized structure of La2MgP2.

Results
Formation energy from the elements: -1320 meV/atom
D(E_F): 0.15 states/eV per atom

Cell and atoms, written as POSCAR:
```
La2MgP2
1.0
-0.288 1.518 -3.678
4.559 -5.546 -2.646
-6.121 -4.394 -1.334
La P Mg
4 4 2
Direct
0.500 0.850 0.350
0.500 0.150 0.650
0.500 0.650 0.850
0.500 0.350 0.150
0.000 0.659 0.159
0.000 0.841 0.659
0.000 0.341 0.841
0.000 0.159 0.341
0.000 0.000 0.000
0.000 0.500 0.500
```

[3]
A plane-wave DFT calculation with SCAN was carried out for a PBEsol-optimized structure of Hf2CrAg.

Results
Formation energy from the elements: 129 meV/atom
D(E_F): 0.86 states/eV per atom

Cell and atoms, written as POSCAR:
```
Hf2CrAg
1.0
4.599 0.000 0.000
2.299 3.983 0.000
2.299 1.328 3.755
Hf Ag Cr
2 1 1
Direct
0.250 0.250 0.250
0.750 0.750 0.750
0.500 0.500 0.500
0.000 0.000 0.000
```

[4]
A plane-wave DFT calculation with SCAN was carried out for a PBEsol-optimized structure of MnCo2Mo.

Results
Formation energy from the elements: 194 meV/atom
D(E_F): 1.00 states/eV per atom
Excess energy over the best structure of this formula in the dataset: 126 meV per atom

Cell and atoms, written as POSCAR:
```
MnCo2Mo
1.0
2.499 -0.439 0.000
-1.633 5.377 0.000
-0.433 -2.469 3.581
Co Mo Mn
2 1 1
Direct
0.500 0.500 0.500
0.000 0.000 0.500
0.500 0.000 0.000
0.000 0.500 0.000
```

no.,size of the total moment (μB/f.u.)
1,1.2
2,0.0
3,0.0
4,1.6